Record 1
Here is an optimized crystal structure of KMgGe from the Alexandria database. Energies are from PBE.

Output
E_form   0.018 eV/atom

Cell lengths 4.8968, 4.8968, 4.1878 Å; angles 90.00, 90.00, 120.00 degrees
Last column: nearest neighbours and their distance in Å.
Space group P-6m2 (No. 187)
Inequivalent atoms, fractional coordinates:
K 0.0000 0.0000 0.0000 [1 per cell]  6 Mg 3.52, 6 Ge 3.52
Mg 0.6667 0.3333 0.5000 [1 per cell]  3 Ge 2.83
Ge 0.3333 0.6667 0.5000 [1 per cell]  3 Mg 2.83


Record 2
Here is an optimized crystal structure of KMgGe from the Alexandria database. Energies are from PBE.

Output
E_form   -0.143 eV/atom

Cell lengths 4.6658, 4.6658, 8.1046 Å; angles 90.00, 90.00, 90.00 degrees
Last column: nearest neighbours and their distance in Å.
Space group P4/nmm (No. 129, origin choice 2)
Inequivalent atoms, fractional coordinates:
K 0.2500 0.2500 0.1465 [2 per cell]  5 Ge 3.55-3.70, 4 Mg 3.69
Mg 0.2500 0.7500 0.5000 [2 per cell]  4 Ge 2.80
Ge 0.2500 0.2500 0.6905 [2 per cell]  4 Mg 2.80


Record 3
Here is an optimized crystal structure of KMgGe from the Alexandria database. Energies are from PBE.

Output
E_form   -0.111 eV/atom

Cell lengths 4.7526, 4.7526, 15.7286 Å; angles 90.00, 90.00, 90.00 degrees
Last column: nearest neighbours and their distance in Å.
Space group I4/mmm (No. 139)
Inequivalent atoms, fractional coordinates:
K 0.0000 0.0000 0.1802 [4 per cell]  5 Ge 3.56-3.63, 4 Mg 3.70
Mg 0.0000 0.5000 0.0000 [4 per cell]  4 Ge 2.80
Ge 0.0000 0.0000 0.4064 [4 per cell]  4 Mg 2.80, 1 Ge 2.94


Record 4
Here is an optimized crystal structure of KMg2Ge2 from the Alexandria database. Energies are from PBE.

Output
E_form   -0.115 eV/atom

Cell lengths 8.6469, 8.6469, 2.9809 Å; angles 90.00, 90.00, 90.00 degrees
Last column: nearest neighbours and their distance in Å.
Space group P4/mbm (No. 127)
Inequivalent atoms, fractional coordinates:
K 0.0000 0.0000 0.0000 [2 per cell]  2 K 2.98
Mg 0.1297 0.3703 0.0000 [4 per cell]  6 Ge 2.93-2.96, 3 Mg 2.98-3.17
Ge 0.1608 0.6608 0.5000 [4 per cell]  6 Mg 2.93-2.96, 2 Ge 2.98


Record 5
Here is an optimized crystal structure of KMg2Ge2 from the Alexandria database. Energies are from PBE.

Output
E_form   -0.205 eV/atom

Cell lengths 4.6885, 4.6885, 11.2598 Å; angles 90.00, 90.00, 90.00 degrees
Last column: nearest neighbours and their distance in Å.
Space group I4/mmm (No. 139)
Inequivalent atoms, fractional coordinates:
K 0.0000 0.0000 0.0000 [2 per cell]  8 Ge 3.55, 8 Mg 3.66
Mg 0.0000 0.5000 0.2500 [4 per cell]  4 Ge 2.81
Ge 0.0000 0.0000 0.3880 [4 per cell]  1 Ge 2.52, 4 Mg 2.81


Record 6
Here is an optimized crystal structure of KMgGe3 from the Alexandria database. Energies are from PBE.

Output
E_form   0.391 eV/atom

Cell lengths 5.1891, 5.1891, 5.1891 Å; angles 90.00, 90.00, 90.00 degrees
Last column: nearest neighbours and their distance in Å.
Space group Pm-3m (No. 221)
Inequivalent atoms, fractional coordinates:
K 0.0000 0.0000 0.0000 [1 per cell]  12 Ge 3.67
Mg 0.5000 0.5000 0.5000 [1 per cell]  6 Ge 2.59
Ge 0.0000 0.5000 0.5000 [3 per cell]  2 Mg 2.59


Record 7
Here is an optimized crystal structure of KMg3Ge2 from the Alexandria database. Energies are from PBE.

Output
E_form   -0.202 eV/atom

Cell lengths 16.8423, 4.5754, 8.5197 Å; angles 90.00, 112.57, 90.00 degrees
Last column: nearest neighbours and their distance in Å.
Space group C2/m (No. 12)
Inequivalent atoms, fractional coordinates:
K 0.1563 0.0000 0.0669 [4 per cell]  7 Ge 3.52-3.73, 7 Mg 3.64-3.88
Mg 0.0354 0.0000 0.3413 [4 per cell]  3 Ge 2.72-2.76
Mg 0.0960 0.5000 0.6889 [4 per cell]  3 Ge 2.73-2.75, 1 Mg 3.03
Mg 0.1798 0.5000 0.4318 [4 per cell]  4 Ge 2.77-2.96, 1 Mg 3.03
Ge 0.0224 0.5000 0.1614 [4 per cell]  1 Ge 2.56, 4 Mg 2.72-2.77
Ge 0.1748 0.0000 0.6482 [4 per cell]  6 Mg 2.73-2.96


Record 8
Here is an optimized crystal structure of KMgGe3 from the Alexandria database. Energies are from PBE.

Output
E_form   1.402 eV/atom

Cell lengths 5.5082, 5.5082, 5.5082 Å; angles 90.00, 90.00, 90.00 degrees
Last column: nearest neighbours and their distance in Å.
Space group Pm-3m (No. 221)
Inequivalent atoms, fractional coordinates:
K 0.0000 0.0000 0.0000 [1 per cell]  6 Ge 2.75
Mg 0.5000 0.5000 0.5000 [1 per cell]  12 Ge 3.89
Ge 0.0000 0.0000 0.5000 [3 per cell]  2 K 2.75


Record 9
Here is an optimized crystal structure of K3MgGe from the Alexandria database. Energies are from PBE.

Output
E_form   0.344 eV/atom

Cell lengths 6.5465, 6.5465, 6.5465 Å; angles 90.00, 90.00, 90.00 degrees
Last column: nearest neighbours and their distance in Å.
Space group Pm-3m (No. 221)
Inequivalent atoms, fractional coordinates:
K 0.0000 0.0000 0.5000 [3 per cell]  2 Ge 3.27
Mg 0.5000 0.5000 0.5000 [1 per cell]  12 K 4.63
Ge 0.0000 0.0000 0.0000 [1 per cell]  6 K 3.27


Record 10
Here is an optimized crystal structure of KNaMg2Ge from the Alexandria database. Energies are from PBE.

Output
E_form   0.740 eV/atom

Cell lengths 5.4872, 5.4872, 5.6203 Å; angles 90.00, 90.00, 90.00 degrees
Last column: nearest neighbours and their distance in Å.
Space group P4/mmm (No. 123)
Inequivalent atoms, fractional coordinates:
K 0.0000 0.0000 0.0000 [1 per cell]  2 Na 2.81
Na 0.0000 0.0000 0.5000 [1 per cell]  4 Mg 2.74, 2 K 2.81
Mg 0.0000 0.5000 0.5000 [2 per cell]  2 Na 2.74
Ge 0.5000 0.5000 0.0000 [1 per cell]  4 K 3.88, 8 Mg 3.93


Record 11
Here is an optimized crystal structure of KNaMgGe from the Alexandria database. Energies are from PBE.

Output
E_form   0.015 eV/atom

Cell lengths 7.3730, 7.3730, 7.3730 Å; angles 90.00, 90.00, 90.00 degrees
Last column: nearest neighbours and their distance in Å.
Space group F-43m (No. 216)
Inequivalent atoms, fractional coordinates:
K 0.0000 0.0000 0.0000 [4 per cell]  4 Na 3.19, 4 Mg 3.19
Na 0.2500 0.2500 0.7500 [4 per cell]  4 Ge 3.19, 4 K 3.19
Mg 0.2500 0.2500 0.2500 [4 per cell]  4 Ge 3.19, 4 K 3.19
Ge 0.0000 0.0000 0.5000 [4 per cell]  4 Na 3.19, 4 Mg 3.19


Record 12
Here is an optimized crystal structure of K2MgGeO4 from the Alexandria database. Energies are from PBE.

Output
ΔE_f (raw)   -2.018 eV/atom

Cell lengths 11.3354, 5.6574, 16.0555 Å; angles 90.00, 90.00, 90.00 degrees
Last column: nearest neighbours and their distance in Å.
Space group Pca2_1 (No. 29)
Inequivalent atoms, fractional coordinates:
K 0.0094 0.0091 0.1203 [4 per cell]  5 O 2.66-2.93
K 0.0105 0.5084 0.5000 [4 per cell]  5 O 2.65-2.91
K 0.2330 0.5417 0.8748 [4 per cell]  4 O 2.82-2.92
K 0.2363 0.0366 0.7429 [4 per cell]  5 O 2.78-3.09
Mg 0.0104 0.5150 0.2494 [4 per cell]  4 O 1.97-1.98
Mg 0.2375 0.0254 0.9955 [4 per cell]  4 O 1.96-1.98
Ge 0.0093 0.0165 0.3705 [4 per cell]  4 O 1.78-1.79
Ge 0.2352 0.5205 0.6250 [4 per cell]  4 O 1.78
O 0.0130 0.2896 0.8498 [4 per cell]  1 Ge 1.78, 1 Mg 1.97
O 0.0233 0.8176 0.7788 [4 per cell]  1 Ge 1.78, 1 Mg 1.98
O 0.0866 0.8975 0.9532 [4 per cell]  1 Ge 1.78, 1 Mg 1.98
O 0.1003 0.3918 0.6602 [4 per cell]  1 Ge 1.78, 1 Mg 1.98
O 0.1581 0.0798 0.3998 [4 per cell]  1 Ge 1.79, 1 Mg 1.96
O 0.1733 0.5783 0.2126 [4 per cell]  1 Ge 1.78, 1 Mg 1.97
O 0.1958 0.3181 0.0553 [4 per cell]  1 Ge 1.78, 1 Mg 1.97
O 0.1989 0.7888 0.5731 [4 per cell]  1 Ge 1.78, 1 Mg 1.97